(1)
LiCl after structural relaxation, computed with PBE-GGA.

abc: 3.9396 12.2068 5.6441
angles: 90.00 90.00 90.00
Last column: nearest neighbours and their distance in Å.
Space group Pmmn (No. 59, origin choice 2)
Asymmetric unit:
1 Li 0.2500 0.0974 0.0669  4 Cl 2.38-2.41
2 Li 0.2500 0.7500 0.4293  4 Cl 2.39-2.40
3 Cl 0.2500 0.2500 0.3292  4 Li 2.38-2.40
4 Cl 0.2500 0.5932 0.1753  4 Li 2.39-2.41

VASP energy = -3.68 eV/atom
D(E_F) = 0.00 states/eV per atom

(2)
Li3Cl after structural relaxation, computed with PBE-GGA.

abc: 5.9111 3.4096 8.6212
angles: 90.00 102.77 90.00
Last column: nearest neighbours and their distance in Å.
Space group C2/m (No. 12)
Asymmetric unit:
1 Li 0.0000 0.0000 0.0000  12 Li 3.30-3.41
2 Li 0.2250 0.0000 0.6827  3 Cl 2.50
3 Cl 0.0000 0.5000 0.5000  6 Li 2.50

Polymorph energy (0 for the lowest one) = 0.000 eV/atom
D(E_F) = 0.25 states/eV per atom

(3)
LiCl after structural relaxation, computed with PBE-GGA.

abc: 4.3869 4.3869 4.5654
angles: 90.00 90.00 90.00
Last column: nearest neighbours and their distance in Å.
Space group P4/nmm (No. 129, origin choice 2)
Asymmetric unit:
1 Li 0.2500 0.7500 0.0000  4 Cl 2.41
2 Cl 0.2500 0.2500 0.2167  4 Li 2.41

VASP energy = -3.65 eV/atom
D(E_F) = 0.00 states/eV per atom

(4)
Li3Cl after structural relaxation, computed with PBE-GGA.

abc: 3.8297 3.8297 5.4695
angles: 90.00 90.00 90.00
Last column: nearest neighbours and their distance in Å.
Space group P4mm (No. 99)
Asymmetric unit:
1 Li 0.0000 0.0000 0.0000  4 Cl 3.07, 4 Li 3.13
2 Li 0.0000 0.5000 0.5472  2 Cl 2.47, 4 Li 2.71
3 Cl 0.5000 0.5000 0.2631  4 Li 2.47

Polymorph energy (0 for the lowest one) = 0.090 eV/atom

(5)
Li3Cl after structural relaxation, computed with PBE-GGA.

abc: 3.4049 3.4049 8.3425
angles: 90.00 90.00 120.00
Last column: nearest neighbours and their distance in Å.
Space group P-6m2 (No. 187)
Asymmetric unit:
1 Li 0.0000 0.0000 0.0000  12 Li 3.28-3.40
2 Li 0.6667 0.3333 0.3147  3 Cl 2.50
3 Cl 0.0000 0.0000 0.5000  6 Li 2.50

Polymorph energy (0 for the lowest one) = 0.001 eV/atom
D(E_F) = 0.37 states/eV per atom

(6)
LiCl after structural relaxation, computed with PBE-GGA.

abc: 5.1545 5.1545 5.1545
angles: 90.00 90.00 90.00
Last column: nearest neighbours and their distance in Å.
Space group Fm-3m (No. 225)
Asymmetric unit:
1 Li 0.0000 0.0000 0.0000  6 Cl 2.58
2 Cl 0.0000 0.0000 0.5000  6 Li 2.58

VASP energy = -3.69 eV/atom
D(E_F) = 0.00 states/eV per atom

(7)
LiCl after structural relaxation, computed with PBE-GGA.

abc: 3.6144 3.6144 27.2106
angles: 90.00 90.00 120.00
Last column: nearest neighbours and their distance in Å.
Space group R-3m (No. 166, hexagonal axes)
Asymmetric unit:
1 Li 0.0000 0.0000 0.0000  6 Cl 2.58
2 Li 0.0000 0.0000 0.1121  6 Cl 2.56-2.59
3 Cl 0.0000 0.0000 0.2775  6 Li 2.58-2.59
4 Cl 0.0000 0.0000 0.5000  6 Li 2.56

VASP energy = -3.68 eV/atom
D(E_F) = 0.00 states/eV per atom

(8)
LiCl after structural relaxation, computed with PBE-GGA.

abc: 11.0870 3.7612 6.7869
angles: 90.00 90.00 90.00
Last column: nearest neighbours and their distance in Å.
Space group Pmn2_1 (No. 31)
Asymmetric unit:
1 Li 0.0000 0.0198 0.0000  4 Cl 2.39-2.41
2 Li 0.2128 0.3616 0.2127  4 Cl 2.39-2.46
3 Cl 0.0000 0.5210 0.2218  4 Li 2.41-2.44
4 Cl 0.1968 0.1385 0.8732  4 Li 2.39-2.46

VASP energy = -3.65 eV/atom
D(E_F) = 0.00 states/eV per atom

(9)
LiCl after structural relaxation, computed with PBE-GGA.

abc: 5.5300 5.5300 5.5300
angles: 90.00 90.00 90.00
Last column: nearest neighbours and their distance in Å.
Space group F-43m (No. 216)
Asymmetric unit:
1 Li 0.0000 0.0000 0.0000  4 Cl 2.39
2 Cl 0.2500 0.2500 0.2500  4 Li 2.39

VASP energy = -3.70 eV/atom
D(E_F) = 0.00 states/eV per atom

(10)
Li3Cl after structural relaxation, computed with PBE-GGA.

abc: 5.9352 5.9352 9.7975
angles: 90.00 90.00 120.00
Last column: nearest neighbours and their distance in Å.
Space group P6_3/mmc (No. 194)
Asymmetric unit:
1 Li 0.0000 0.5000 0.0000  8 Li 2.95-2.97, 4 Cl 2.97-2.99
2 Li 0.1816 0.3632 0.2500  6 Li 2.70-2.95, 2 Cl 2.97
3 Cl 0.0000 0.0000 0.0000  12 Li 2.97-3.08
4 Cl 0.3333 0.6667 0.7500  12 Li 2.97-2.99

Polymorph energy (0 for the lowest one) = 0.206 eV/atom
D(E_F) = 0.17 states/eV per atom

(11)
Li3Cl after structural relaxation, computed with PBE-GGA.

abc: 3.7499 3.7499 11.8578
angles: 90.00 90.00 90.00
Last column: nearest neighbours and their distance in Å.
Space group I4/mmm (No. 139)
Asymmetric unit:
1 Li 0.0000 0.0000 0.0000  4 Cl 2.65
2 Li 0.0000 0.5000 0.2500  4 Li 2.65
3 Cl 0.0000 0.0000 0.5000  4 Li 2.65

Polymorph energy (0 for the lowest one) = 0.240 eV/atom
D(E_F) = 0.29 states/eV per atom

(12)
LiCl4 after structural relaxation, computed with PBE-GGA.

abc: 9.5486 8.2646 4.8390
angles: 90.00 120.03 90.00
Last column: nearest neighbours and their distance in Å.
Space group C2/m (No. 12)
Asymmetric unit:
1 Li 0.0000 0.0000 0.0000  4 Cl 2.40
2 Cl 0.2494 0.0000 0.5006  2 Cl 2.39-2.45, 1 Li 2.40
3 Cl 0.2505 0.0000 0.9956  2 Cl 2.39-2.45, 1 Li 2.40

Polymorph energy (0 for the lowest one) = 0.000 eV/atom
D(E_F) = 0.48 states/eV per atom